Record 1
Density functional theory data (PBE-GGA) for a geometry-optimized TbCdCu10 structure.

```
TbCdCu10
1.0
4.088 0.000 0.000
0.000 4.982 0.000
0.000 0.000 8.636
Tb Cd Cu
1 1 10
direct
0.000 0.000 0.000 Tb
0.000 0.500 0.500 Cd
0.000 0.000 0.342 Cu
0.000 0.000 0.658 Cu
0.000 0.500 0.178 Cu
0.000 0.500 0.822 Cu
0.500 0.000 0.500 Cu
0.500 0.247 0.249 Cu
0.500 0.247 0.751 Cu
0.500 0.500 0.000 Cu
0.500 0.753 0.249 Cu
0.500 0.753 0.751 Cu
```

* SG: Pmmm
* total DFT energy (no corrections): -3.941 eV per atom
* calculated density: 8.56 g/cm3


Record 2
Density functional theory data (PBE-GGA) for a geometry-optimized Nd3SnSe structure.

```
Nd3SnSe
1.0
9.474 0.000 0.000
0.000 6.883 0.000
-4.349 0.000 9.832
Nd Sn Se
12 4 4
direct
0.055 0.083 0.335 Nd
0.055 0.417 0.835 Nd
0.205 0.586 0.531 Nd
0.205 0.914 0.031 Nd
0.409 0.200 0.826 Nd
0.409 0.300 0.326 Nd
0.591 0.700 0.674 Nd
0.591 0.800 0.174 Nd
0.795 0.086 0.969 Nd
0.795 0.414 0.469 Nd
0.945 0.583 0.165 Nd
0.945 0.917 0.665 Nd
0.355 0.716 0.841 Sn
0.355 0.784 0.341 Sn
0.645 0.216 0.659 Sn
0.645 0.284 0.159 Sn
0.098 0.234 0.602 Se
0.098 0.266 0.102 Se
0.902 0.734 0.898 Se
0.902 0.766 0.398 Se
```

* SG: P2_1/c
* offset from the most stable computed form: 0.154 eV per atom
* ΔE_f (raw): -0.9129 eV/atom
* total DFT energy (no corrections): -5.271 eV per atom
* calculated density: 6.53 g/cm3